Record 1
# Be2CoCl

Be2CoCl after structural relaxation (PBE, Alexandria).

Output
- E above lowest polymorph: 589 meV/atom

a b c (Å): 4.5292 4.5292 4.5292
angles (deg): 136.68 136.68 62.93
Sites, in units of the cell vectors:
Be 0.2500 0.7500 0.5000
Be 0.7500 0.2500 0.5000
Co 0.0000 0.0000 0.0000
Cl 0.5000 0.5000 0.0000

Record 2
# Be2CoCl

Be2CoCl after structural relaxation (PBE, Alexandria).

Output
- E above lowest polymorph: 120 meV/atom

a b c (Å): 2.8295 2.8295 5.8007
angles (deg): 90.00 90.00 90.00
Sites, in units of the cell vectors:
Be 0.0000 0.0000 0.1851
Be 0.0000 0.0000 0.8149
Co 0.5000 0.5000 0.0000
Cl 0.5000 0.5000 0.5000

Record 3
# Be2CoCl

Be2CoCl after structural relaxation (PBE, Alexandria).

Output
- E above lowest polymorph: 6 meV/atom

a b c (Å): 2.9442 3.0140 6.9698
angles (deg): 90.00 94.34 90.00
Sites, in units of the cell vectors:
Be 0.0000 0.0000 0.0000
Be 0.0503 0.5000 0.2879
Co 0.5068 0.5000 0.0385
Cl 0.0860 0.0000 0.4777

Record 4
# BeCo2Cl

BeCo2Cl after structural relaxation (PBE, Alexandria).

Output
- E above lowest polymorph: 505 meV/atom

a b c (Å): 4.9261 4.9261 4.9261
angles (deg): 140.87 140.87 56.53
Sites, in units of the cell vectors:
Be 0.0000 0.0000 0.0000
Co 0.5000 0.5000 0.0000
Co 0.7500 0.2500 0.5000
Cl 0.2500 0.7500 0.5000

Record 5
# BeCoCl

BeCoCl after structural relaxation (PBE, Alexandria).

Output
- E above lowest polymorph: 60 meV/atom

a b c (Å): 3.3111 2.9901 9.8163
angles (deg): 90.00 90.67 90.00
Sites, in units of the cell vectors:
Be 0.2440 0.2500 0.3254
Be 0.7560 0.7500 0.6746
Co 0.2517 0.2500 0.5456
Co 0.7483 0.7500 0.4544
Cl 0.2385 0.7500 0.1871
Cl 0.7615 0.2500 0.8129

Record 6
# BeCo2Cl

BeCo2Cl after structural relaxation (PBE, Alexandria).

Output
- E above lowest polymorph: 688 meV/atom

a b c (Å): 4.0937 4.0937 4.0937
angles (deg): 60.00 60.00 60.00
Sites, in units of the cell vectors:
Be 0.0000 0.0000 0.0000
Co 0.5000 0.5000 0.5000
Co 0.7500 0.7500 0.7500
Cl 0.2500 0.2500 0.2500

Record 7
# BeCoCl2

BeCoCl2 after structural relaxation (PBE, Alexandria).

Output
- E above lowest polymorph: 661 meV/atom

a b c (Å): 3.1076 3.4747 6.1062
angles (deg): 90.00 90.00 90.00
Sites, in units of the cell vectors:
Be 0.0000 0.0000 0.0000
Co 0.5000 0.0000 0.5000
Cl 0.0000 0.5000 0.5000
Cl 0.5000 0.5000 0.0000

Record 8
# BeCoCl

BeCoCl after structural relaxation (PBE, Alexandria).

Output
- E above lowest polymorph: 107 meV/atom

a b c (Å): 3.5107 3.5114 8.7086
angles (deg): 87.74 89.89 60.01
Sites, in units of the cell vectors:
Be 0.1651 0.1700 0.4755
Be 0.8349 0.8300 0.5245
Co 0.4919 0.5175 0.3678
Co 0.5081 0.4825 0.6322
Cl 0.1493 0.2040 0.2123
Cl 0.8507 0.7960 0.7877

Record 9
# BeCoCl

BeCoCl after structural relaxation (PBE, Alexandria).

Output
- E above lowest polymorph: 1172 meV/atom

a b c (Å): 3.7372 3.7372 6.3195
angles (deg): 90.00 90.00 120.00
Sites, in units of the cell vectors:
Be 0.0000 0.0000 0.0000
Be 0.0000 0.0000 0.5000
Co 0.3333 0.6667 0.2500
Co 0.6667 0.3333 0.7500
Cl 0.3333 0.6667 0.7500
Cl 0.6667 0.3333 0.2500

Record 10
# BeCo2Cl

BeCo2Cl after structural relaxation (PBE, Alexandria).

Output
- E above lowest polymorph: 130 meV/atom

a b c (Å): 2.8899 2.8899 6.7205
angles (deg): 90.00 90.00 90.00
Sites, in units of the cell vectors:
Be 0.0000 0.0000 0.0000
Co 0.0000 0.0000 0.6540
Co 0.5000 0.5000 0.8454
Cl 0.5000 0.5000 0.1990

Record 11
# Be2CoCl

Be2CoCl after structural relaxation (PBE, Alexandria).

Output
- E above lowest polymorph: 437 meV/atom

a b c (Å): 4.1006 4.1006 2.7688
angles (deg): 90.00 90.00 110.37
Sites, in units of the cell vectors:
Be 0.0000 0.5000 0.0000
Be 0.5000 0.0000 0.0000
Co 0.0000 0.0000 0.5000
Cl 0.5000 0.5000 0.5000

Record 12
# BeCoCl

BeCoCl after structural relaxation (PBE, Alexandria).

Output
- E above lowest polymorph: 221 meV/atom

a b c (Å): 4.5148 2.9174 8.1821
angles (deg): 90.00 102.25 90.00
Sites, in units of the cell vectors:
Be 0.1119 0.0000 0.4157
Be 0.8881 0.5000 0.5843
Co 0.3879 0.4988 0.5838
Co 0.6121 0.9988 0.4162
Cl 0.1702 0.4969 0.8037
Cl 0.8298 0.9969 0.1963

Record 13
# BeCoCl

BeCoCl after structural relaxation (PBE, Alexandria).

Output
- E above lowest polymorph: 639 meV/atom

a b c (Å): 6.1929 5.8403 2.9296
angles (deg): 82.71 69.30 27.99
Sites, in units of the cell vectors:
Be 0.0000 0.0000 0.0000
Co 0.3544 0.3544 0.6456
Cl 0.6289 0.6289 0.3711

Record 14
# Be2CoCl

Be2CoCl after structural relaxation (PBE, Alexandria).

Output
- E above lowest polymorph: 37 meV/atom

a b c (Å): 3.4396 3.4396 5.0488
angles (deg): 90.59 90.59 59.73
Sites, in units of the cell vectors:
Be 0.0000 0.0000 0.0000
Be 0.6661 0.6661 0.8765
Co 0.3319 0.3319 0.7394
Cl 0.0032 0.0032 0.4086

Record 15
# BeCo4Cl

BeCo4Cl after structural relaxation (PBE, Alexandria).

a b c (Å): 4.7761 4.7761 4.7761
angles (deg): 60.00 60.00 60.00
Sites, in units of the cell vectors:
Be 0.0000 0.0000 0.0000
Co 0.3745 0.3745 0.3745
Co 0.3745 0.3745 0.8766
Co 0.3745 0.8766 0.3745
Co 0.8766 0.3745 0.3745
Cl 0.7500 0.7500 0.7500

Record 16
# BeCoCl2

BeCoCl2 after structural relaxation (PBE, Alexandria).

Output
- E above lowest polymorph: 1195 meV/atom

a b c (Å): 4.4806 4.4806 4.4806
angles (deg): 60.00 60.00 60.00
Sites, in units of the cell vectors:
Be 0.0000 0.0000 0.0000
Co 0.2500 0.2500 0.2500
Cl 0.5000 0.5000 0.5000
Cl 0.7500 0.7500 0.7500

Record 17
# BeCoCl2

BeCoCl2 after structural relaxation (PBE, Alexandria).

Output
- E above lowest polymorph: 0 meV/atom

a b c (Å): 6.9669 6.9669 3.5297
angles (deg): 103.04 103.04 26.28
Sites, in units of the cell vectors:
Be 0.0000 0.0000 0.0000
Co 0.5000 0.5000 0.5000
Cl 0.3813 0.3813 0.8940
Cl 0.6187 0.6187 0.1060

Record 18
# BeCo2Cl

BeCo2Cl after structural relaxation (PBE, Alexandria).

Output
- E above lowest polymorph: 168 meV/atom

a b c (Å): 5.9499 5.9499 5.9499
angles (deg): 152.99 147.37 42.85
Sites, in units of the cell vectors:
Be 0.0000 0.0000 0.0000
Co 0.4443 0.4443 0.0000
Co 0.6258 0.1258 0.5000
Cl 0.2639 0.7639 0.5000

Record 19
# BeCoCl2

BeCoCl2 after structural relaxation (PBE, Alexandria).

Output
- E above lowest polymorph: 72 meV/atom

a b c (Å): 3.3483 3.0305 7.1378
angles (deg): 90.00 94.89 90.00
Sites, in units of the cell vectors:
Be 0.0000 0.0000 0.0000
Co 0.4970 0.5000 0.1139
Cl 0.1917 0.5000 0.8190
Cl 0.5813 0.0000 0.3429

Record 20
# Be2CoCl

Be2CoCl after structural relaxation (PBE, Alexandria).

Output
- E above lowest polymorph: 203 meV/atom

a b c (Å): 3.9280 3.9280 6.1484
angles (deg): 117.04 117.04 44.11
Sites, in units of the cell vectors:
Be 0.2331 0.2331 0.3589
Be 0.7669 0.7669 0.6411
Co 0.0000 0.0000 0.5000
Cl 0.0000 0.0000 0.0000

Record 21
# BeCoCl

BeCoCl after structural relaxation (PBE, Alexandria).

Output
- E above lowest polymorph: 0 meV/atom

a b c (Å): 3.1149 3.4143 8.3912
angles (deg): 90.00 100.58 90.00
Sites, in units of the cell vectors:
Be 0.0427 0.2500 0.0862
Be 0.9573 0.7500 0.9138
Co 0.4458 0.2500 0.8909
Co 0.5542 0.7500 0.1091
Cl 0.3512 0.7500 0.7057
Cl 0.6488 0.2500 0.2943

Record 22
# BeCoCl

BeCoCl after structural relaxation (PBE, Alexandria).

Output
- E above lowest polymorph: 149 meV/atom

a b c (Å): 2.9286 2.9835 9.8859
angles (deg): 94.99 90.26 90.00
Sites, in units of the cell vectors:
Be 0.0000 0.0000 0.0000
Be 0.0033 0.0332 0.2217
Co 0.5015 0.4990 0.1058
Co 0.5053 0.5810 0.3468
Cl 0.0078 0.6272 0.5182
Cl 0.4981 0.1927 0.8703

Record 23
# Be2CoCl

Be2CoCl after structural relaxation (PBE, Alexandria).

Output
- E above lowest polymorph: 252 meV/atom

a b c (Å): 6.8519 6.8519 6.8519
angles (deg): 24.05 24.05 24.05
Sites, in units of the cell vectors:
Be 0.2450 0.2450 0.2450
Be 0.7550 0.7550 0.7550
Co 0.5000 0.5000 0.5000
Cl 0.0000 0.0000 0.0000

Record 24
# BeCo2Cl

BeCo2Cl after structural relaxation (PBE, Alexandria).

Output
- E above lowest polymorph: 109 meV/atom

a b c (Å): 2.8112 2.8112 7.1363
angles (deg): 90.00 90.00 90.00
Sites, in units of the cell vectors:
Be 0.0000 0.0000 0.0000
Co 0.0000 0.0000 0.6476
Co 0.5000 0.5000 0.8633
Cl 0.5000 0.5000 0.4378

Record 25
# BeCoCl2

BeCoCl2 after structural relaxation (PBE, Alexandria).

Output
- E above lowest polymorph: 255 meV/atom

a b c (Å): 11.3955 11.3955 11.3955
angles (deg): 15.45 15.45 15.45
Sites, in units of the cell vectors:
Be 0.0000 0.0000 0.0000
Co 0.5000 0.5000 0.5000
Cl 0.2950 0.2950 0.2950
Cl 0.7050 0.7050 0.7050

Record 26
# BeCoCl

BeCoCl after structural relaxation (PBE, Alexandria).

Output
- E above lowest polymorph: 1348 meV/atom

a b c (Å): 3.4141 3.4141 8.5591
angles (deg): 90.00 90.00 120.00
Sites, in units of the cell vectors:
Be 0.3333 0.6667 0.2500
Be 0.6667 0.3333 0.7500
Co 0.0000 0.0000 0.0000
Co 0.0000 0.0000 0.5000
Cl 0.0000 0.0000 0.2500
Cl 0.0000 0.0000 0.7500

Record 27
# Be3CoCl

Be3CoCl after structural relaxation (PBE, Alexandria).

Output
- E above lowest polymorph: 0 meV/atom

a b c (Å): 4.1231 4.1231 4.1231
angles (deg): 90.00 90.00 90.00
Sites, in units of the cell vectors:
Be 0.0000 0.0000 0.5000
Be 0.0000 0.5000 0.0000
Be 0.5000 0.0000 0.0000
Co 0.0000 0.0000 0.0000
Cl 0.5000 0.5000 0.5000

Record 28
# BeCoCl2

BeCoCl2 after structural relaxation (PBE, Alexandria).

Output
- E above lowest polymorph: 526 meV/atom

a b c (Å): 4.6714 4.6714 3.0090
angles (deg): 90.00 90.00 94.04
Sites, in units of the cell vectors:
Be 0.0000 0.0000 0.0000
Co 0.5000 0.5000 0.0000
Cl 0.2237 0.7763 0.5000
Cl 0.7763 0.2237 0.5000

Record 29
# BeCo2Cl

BeCo2Cl after structural relaxation (PBE, Alexandria).

Output
- E above lowest polymorph: 150 meV/atom

a b c (Å): 2.8835 2.8835 5.8537
angles (deg): 90.00 90.00 90.00
Sites, in units of the cell vectors:
Be 0.0000 0.0000 0.0000
Co 0.5000 0.5000 0.1920
Co 0.5000 0.5000 0.8080
Cl 0.0000 0.0000 0.5000

Record 30
# Be2CoCl

Be2CoCl after structural relaxation (PBE, Alexandria).

Output
- E above lowest polymorph: 603 meV/atom

a b c (Å): 5.6136 5.6136 5.6136
angles (deg): 124.18 124.18 82.89
Sites, in units of the cell vectors:
Be 0.1126 0.6250 0.9876
Be 0.3750 0.3626 0.4876
Be 0.6374 0.1250 0.0124
Be 0.8750 0.8874 0.5124
Co 0.0000 0.0000 0.0000
Co 0.7500 0.2500 0.5000
Cl 0.2500 0.7500 0.5000
Cl 0.5000 0.5000 0.0000

We obtain formation energy (no corrections) values of 567.0, 98.2, -16.4, 615.9, -299.8, 799.0, 339.1, -253.6, 812.1, 240.6, 414.8, -138.9, 278.9, 14.8, 706.1, 873.6, -321.7, 279.1, -249.7, 180.8, -360.2, -211.1, 230.0, 220.0, -67.1, 987.3, 825.1, 204.8, 261.3, 581.1 meV per atom for the records listed above, in that order.